152
Lattice="19.565 0.000 0.000 0.000 6.492 0.007 0.000 0.686 19.179" Properties=species:S:1:pos:R:3 comment="CsKMo4P6O26 GGA+U relaxed" magnetic_moment_mub_per_atom=0.105 final_energy_ev_per_atom=-7.093 mass_density_g_cm3=3.157 volume_a3_per_cell=2435.9 pbc="T T T"
P 3.520 4.110 4.383
P 6.262 4.453 13.973
P 17.747 6.256 17.247
P 0.752 0.957 7.669
P 1.817 0.922 1.939
P 1.640 4.498 11.632
P 10.390 2.960 11.498
P 9.175 4.218 7.689
P 11.422 3.022 17.144
P 11.599 5.913 7.658
P 17.925 2.679 7.555
P 13.303 2.724 5.214
P 8.143 4.155 2.042
P 13.110 6.314 14.714
P 16.237 5.971 5.125
P 16.044 3.067 14.803
P 0.608 4.561 17.278
P 9.030 1.300 17.259
P 3.327 1.207 14.062
P 18.812 6.221 11.518
P 10.535 5.878 1.928
P 18.957 2.617 1.908
P 6.455 0.864 4.472
P 7.965 1.265 11.529
Mo 17.231 5.961 8.409
Mo 3.085 4.447 14.981
Mo 17.108 3.052 18.125
Mo 12.867 3.074 13.795
Mo 2.457 4.125 1.062
Mo 7.449 0.874 1.188
Mo 16.479 2.731 4.205
Mo 13.040 5.977 4.264
Mo 12.239 2.709 8.535
Mo 7.325 4.468 10.651
Mo 16.307 6.320 13.853
Mo 6.697 4.104 5.392
Mo 6.525 1.200 14.923
Mo 2.334 1.217 10.777
Mo 12.116 6.304 17.999
Mo 3.258 0.857 5.333
O 19.353 5.961 17.250
O 0.370 3.757 1.654
O 15.586 5.781 8.803
O 5.781 4.112 6.830
O 10.152 3.077 7.943
O 4.123 0.858 6.805
O 6.923 6.119 5.275
O 14.821 2.727 5.464
O 15.563 2.723 2.767
O 11.785 3.151 15.684
O 13.761 6.124 18.393
O 1.924 6.107 1.158
O 17.641 1.070 18.029
O 6.725 5.652 14.850
O 2.003 4.370 13.093
O 11.477 2.786 10.455
O 14.525 3.070 15.054
O 4.081 4.274 0.566
O 12.642 1.059 13.911
O 18.360 2.777 3.321
O 11.568 4.309 17.973
O 2.500 2.053 1.176
O 17.870 2.443 0.866
O 4.002 4.455 16.420
O 1.360 0.771 6.268
O 5.039 4.108 4.133
O 3.979 1.396 10.383
O 16.705 0.716 4.322
O 7.949 1.506 18.316
O 1.833 1.163 8.727
O 17.731 6.014 10.460
O 10.001 6.669 17.598
O 17.562 2.808 6.094
O 9.833 2.711 17.212
O 7.996 2.869 1.214
O 17.078 5.908 6.414
O 19.514 2.368 7.623
O 6.733 3.221 14.788
O 7.596 1.128 13.005
O 7.283 2.395 10.766
O 4.950 0.857 4.146
O 16.507 1.869 13.927
O 12.520 2.653 6.527
O 12.136 1.896 17.914
O 1.694 4.734 18.321
O 11.968 6.049 6.181
O 9.412 4.100 11.243
O 11.143 6.064 3.329
O 7.045 4.525 12.659
O 12.673 5.112 13.845
O 17.779 3.966 8.383
O 2.353 5.625 10.862
O 12.832 3.957 4.399
O 19.195 3.420 17.533
O 12.282 4.782 8.421
O 3.058 5.309 5.260
O 9.732 4.466 1.974
O 4.832 1.200 13.735
O 0.212 1.216 1.937
O 2.186 0.785 3.416
O 12.840 1.526 4.337
O 5.804 1.053 0.793
O 6.891 2.066 5.341
O 10.987 3.120 12.910
O 2.891 2.409 14.931
O 2.860 6.462 14.865
O 15.441 6.320 12.382
O 12.269 6.250 16.004
O 13.784 3.066 12.357
O 1.786 3.212 10.804
O 13.864 2.561 9.031
O 19.346 6.326 8.008
O 4.743 4.451 13.722
O 14.615 6.321 15.041
O 17.211 1.553 8.324
O 1.205 4.401 15.866
O 5.701 4.617 10.156
O 7.296 0.927 3.183
O 16.515 4.300 13.988
O 9.994 5.618 7.660
O 8.088 4.392 8.731
O 16.674 4.769 4.255
O 7.780 4.027 3.503
O 18.204 6.407 12.919
O 17.379 6.392 15.771
O 0.219 0.851 11.178
O 2.737 4.182 3.069
O 8.577 4.058 6.276
O 14.732 5.978 5.451
O 7.859 6.450 10.748
O 9.570 1.559 11.526
O 0.050 4.809 11.564
O 11.706 0.727 8.439
O 11.616 5.671 0.870
O 15.483 2.904 18.620
O 3.049 2.878 5.198
O 16.827 2.996 16.117
O 9.563 0.508 1.588
O 17.065 5.125 18.010
O 5.659 1.200 16.394
O 8.422 1.114 15.858
O 2.487 1.270 12.773
O 13.906 5.977 2.792
O 7.429 5.282 1.273
K 9.815 5.729 13.748
K 19.532 5.386 4.158
K 0.033 1.792 15.028
K 9.749 1.449 5.439
Cs 6.531 4.584 17.833
Cs 16.313 2.937 10.943
Cs 3.252 4.241 8.244
Cs 13.034 2.594 1.353